<i>
ThSnRh6 | PBE | relaxed

POSCAR file:
```
ThSnRh6
1.0
3.5995 2.0781 3.4360
-3.5995 2.0781 3.4360
0.0000 -4.1563 3.4360
Th Sn Rh
1 1 6
direct
0.0000 0.0000 0.0000
0.5000 0.5000 0.5000
0.1609 0.1609 0.5317
0.1609 0.5317 0.1609
0.4683 0.8391 0.8391
0.5317 0.1609 0.1609
0.8391 0.4683 0.8391
0.8391 0.8391 0.4683
```

Output
total magnetic moment	0.00	μB/atom
N(E_F)	1.580	states/eV/atom
symmetry	No. 166


<ii>
ThSnRh6 | PBE | relaxed

POSCAR file:
```
ThSnRh6
1.0
5.7301 0.0000 0.0000
0.0000 5.7301 0.0000
0.0000 0.0000 4.0514
Th Sn Rh
1 1 6
direct
0.0000 0.0000 0.0000
0.5000 0.5000 0.0000
0.0000 0.5000 0.0000
0.2591 0.2591 0.5000
0.2591 0.7409 0.5000
0.5000 0.0000 0.0000
0.7409 0.2591 0.5000
0.7409 0.7409 0.5000
```

Output
total magnetic moment	0.00	μB/atom
N(E_F)	0.840	states/eV/atom
symmetry	No. 123


Relative calculated energies, zero for the most stable structure, unit meV/atom: <i> 554; <ii> 0.